! PBE with a Hubbard U Li2TiFeO4, relaxed; values from VASP
&SYSTEM
  ibrav = 0, nat = 16, ntyp = 4
/
ATOMIC_SPECIES
Ti 47.87 Ti.upf
Fe 55.84 Fe.upf
Li 6.94 Li.upf
O 16.00 O.upf
CELL_PARAMETERS angstrom
-1.932 -1.315 -3.359
2.996 -2.707 -0.664
-4.253 -5.872 4.745
ATOMIC_POSITIONS crystal
Ti 0.000 0.500 0.500
Ti 0.500 0.000 0.000
Fe 0.000 0.000 0.250
Fe 0.000 0.000 0.750
Li 0.500 0.000 0.500
Li 0.500 0.500 0.750
Li 0.500 0.500 0.250
Li 0.000 0.500 0.000
O 0.000 0.500 0.268
O 0.500 0.000 0.768
O 0.000 0.000 0.000
O 0.000 0.000 0.500
O 0.500 0.500 0.500
O 0.500 0.000 0.232
O 0.000 0.500 0.732
O 0.500 0.500 0.000
! DOS(E_F): 2.86 states/eV/cell
! polymorph energy (0 for the lowest one): 93 meV/atom